Entry 1:
Be2AgPt | GGA-PBE | optimized geometry

## Properties
- Crystal system: tetragonal

Lattice parameters (Å, degrees): 3.9222 3.9222 8.1715 76.11 76.11 90.00
Closest atoms and distances in Å follow each position.
Fractional positions:
Pt 0.7500 0.2500 0.5000  4 Be 2.24
Pt 0.0000 0.0000 0.0000  4 Be 2.24
Ag 0.2500 0.7500 0.5000  4 Be 2.55, 4 Pt 2.77
Ag 0.5000 0.5000 0.0000  4 Be 2.55, 4 Pt 2.77
Be 0.7206 0.1250 0.2500  2 Pt 2.24, 2 Be 2.30
Be 0.3750 0.2794 0.7500  2 Pt 2.24, 2 Be 2.30
Be 0.8750 0.9706 0.7500  2 Pt 2.24, 2 Be 2.30
Be 0.0294 0.6250 0.2500  2 Pt 2.24, 2 Be 2.30

Entry 2:
BeAgPt | GGA-PBE | optimized geometry

## Properties
- Crystal system: hexagonal

Lattice parameters (Å, degrees): 4.0594 4.0594 3.0258 90.00 90.00 120.00
Closest atoms and distances in Å follow each position.
Fractional positions:
Be 0.6667 0.3333 0.4994  3 Pt 2.34
Ag 0.0000 0.0000 0.0003  6 Be 2.79, 6 Pt 2.79, 2 Ag 3.03
Pt 0.3333 0.6667 0.5003  3 Be 2.34

Total magnetization across the listed records, respectively: 0.000; 0.000 μB per formula unit.
Energy relative to the elements across the listed records, respectively: 134; -144 meV per atom.